Density functional theory data (GGA-PBE) for a relaxed structure of Pm2BiRh2.

crystal system	tetragonal
mass density	10.10	Mg/m³
energy above the lowest structure with this stoichiometry	10	meV/atom
N(E_F)	7.2	states/eV per cell
formation enthalpy at 0 K	-3.53	eV per formula unit

Cell lengths 3.866, 7.742, 7.742 Å; angles 90.00, 90.00, 90.00 degrees
Element x y z (fractional)
Pm  0.500  0.172  0.672
Pm  0.500  0.672  0.828
Pm  0.500  0.828  0.328
Pm  0.500  0.328  0.172
Bi  0.000  0.000  0.000
Bi  0.000  0.500  0.500
Rh  0.000  0.371  0.871
Rh  0.000  0.871  0.629
Rh  0.000  0.629  0.129
Rh  0.000  0.129  0.371